First-principles (PBE) data for an optimized crystal structure of TmMgZnCd, as listed in Alexandria.

Summary:
- Formation energy: -280 meV/atom
- Space group: F-43m (216)
- Total magnetic moment: 0.000 μB per atom
- Calculated total energy: -2.34 eV/atom

Cell: 4.933 4.933 4.933 Å, 60.00 60.00 60.00°
Element x y z (fractional)
Zn 0.250 0.250 0.250
Tm 0.500 0.500 0.500
Mg 0.000 0.000 0.000
Cd 0.750 0.750 0.750